Crystalline AcMnAg2O4 at its relaxed geometry, computed with PBE+U.

```
AcMnAg2O4
1.0
4.134 -5.454 0.000
4.134 5.454 0.000
-4.027 0.000 6.047
Ac Mn Ag O
2 2 4 8
Direct
0.000 0.500 0.000
0.500 0.000 0.500
0.000 0.000 0.000
0.000 0.000 0.500
0.000 0.500 0.500
0.500 0.000 0.000
0.500 0.500 0.000
0.500 0.500 0.500
0.088 0.753 0.393
0.207 0.321 0.182
0.247 0.912 0.107
0.321 0.207 0.682
0.679 0.793 0.318
0.753 0.088 0.893
0.793 0.679 0.818
0.912 0.247 0.607
```

Values from the calculation:
The value obtained for the total energy is -6.070 eV per atom. The value obtained for the volume is 272.7 Å³/cell. As for the symmetry: C2/c, No. 15.